KTa2Ru PBE-GGA optimized geometry; E_tot = -29.3 eV per formula unit; formation enthalpy at 0 K = 1.189 eV per atom
1.0
-5.199 1.263 -1.666
0.868 -0.664 5.839
0.134 2.573 0.788
Ta Ru K
2 1 1
direct
0.500 0.000 0.500
0.000 0.000 0.000
0.500 0.500 0.000
0.000 0.500 0.500

PdC2I2 PBE-GGA optimized geometry; E_tot = -15.9 eV per formula unit; energy relative to the elements, uncorrected = 2.174 eV per atom
1.0
7.692 0.000 0.000
0.000 7.692 0.000
0.000 0.000 3.354
C I Pd
4 4 2
direct
0.824 0.324 0.500
0.676 0.824 0.500
0.176 0.676 0.500
0.324 0.176 0.500
0.695 0.195 0.000
0.305 0.805 0.000
0.195 0.305 0.000
0.805 0.695 0.000
0.500 0.500 0.000
0.000 0.000 0.000

BiH2Pt PBE-GGA optimized geometry; E_tot = -16.2 eV per formula unit
1.0
-0.813 -4.390 -0.361
3.674 -0.878 2.407
-1.540 -2.462 5.619
Pt H Bi
2 4 2
direct
0.250 0.750 0.500
0.500 0.500 0.000
0.375 0.125 0.250
0.875 0.625 0.750
0.375 0.625 0.250
0.375 0.625 0.750
0.000 0.000 0.000
0.750 0.250 0.500